Arrangement a

9
Lattice="-2.879 -3.138 -2.389 -0.174 -4.420 1.026 -6.864 -1.984 5.887" Properties=species:S:1:pos:R:3 comment="HfPd2Au6 (PBE-GGA, optimized geometry)" total_magnetization_mub_per_atom=0.00 volume_a3_per_atom=17.7 pbc="T T T"
Hf -3.519 -3.202 3.456
Pd -5.254 -5.463 3.527
Pd -4.662 -4.079 0.996
Au -2.400 -4.901 -0.650
Au -7.517 -4.641 5.174
Au -4.197 -7.152 -0.517
Au -2.929 -1.826 0.938
Au -5.720 -2.390 5.041
Au -6.988 -7.716 3.586

Arrangement b

9
Lattice="-3.495 -0.326 -1.909 -1.830 -4.805 4.170 -0.077 5.706 3.350" Properties=species:S:1:pos:R:3 comment="HfPd2Au6 (PBE-GGA, optimized geometry)" total_magnetization_mub_per_atom=0.00 volume_a3_per_atom=17.6 pbc="T T T"
Hf -2.663 -2.565 1.130
Pd -3.717 3.956 1.948
Pd -1.686 -3.381 3.663
Au -2.949 0.342 5.341
Au -2.454 0.233 0.270
Au -4.082 -1.737 3.586
Au -1.525 -0.617 2.896
Au -1.321 2.312 2.024
Au -3.878 1.192 2.714

Stability, lowest: arrangement a

Arrangement a

16
Lattice="7.123 0.000 0.000 0.000 7.123 0.000 -3.562 -3.562 5.732" Properties=species:S:1:pos:R:3 comment="HfPd2Au5 (PBE-GGA, optimized geometry)" total_magnetization_mub_per_atom=0.00 volume_a3_per_atom=18.2 pbc="T T T"
Hf 3.562 3.562 2.866
Hf 0.000 0.000 2.866
Pd 1.011 2.551 0.000
Pd 4.573 1.011 0.000
Pd 2.551 6.112 0.000
Pd 6.112 4.573 0.000
Au 1.086 2.476 3.863
Au 4.647 -1.086 1.869
Au 0.000 0.000 0.000
Au 3.562 3.562 0.000
Au -1.086 4.647 3.863
Au 2.476 -1.086 3.863
Au 4.647 1.086 3.863
Au 1.086 4.647 1.869
Au -1.086 2.476 1.869
Au 2.476 1.086 1.869

Arrangement b

16
Lattice="-0.285 -2.328 -5.236 -4.229 -3.880 3.589 -5.467 7.006 3.462" Properties=species:S:1:pos:R:3 comment="HfPd2Au5 (PBE-GGA, optimized geometry)" total_magnetization_mub_per_atom=0.00 volume_a3_per_atom=18.1 pbc="T T T"
Hf -3.190 -0.413 1.171
Hf -6.791 1.211 0.645
Pd -6.417 5.182 3.623
Pd -4.378 2.130 1.612
Pd -5.603 -1.332 0.203
Pd -3.564 -4.384 -1.807
Au -5.556 -0.270 2.841
Au -3.470 -3.252 0.848
Au -1.788 -0.382 -3.666
Au -1.555 0.758 -1.009
Au -6.683 2.325 3.289
Au -3.298 -1.527 -1.474
Au -8.426 0.040 2.825
Au -8.193 1.180 5.481
Au -4.426 1.068 -1.026
Au -6.511 4.050 0.967

Stability, lowest: arrangement a

Arrangement a

9
Lattice="-2.320 3.368 0.205 -1.655 1.613 -4.334 -7.932 -2.916 -0.956" Properties=species:S:1:pos:R:3 comment="HfPd6Au2 (PBE-GGA, optimized geometry)" total_magnetization_mub_per_atom=0.00 volume_a3_per_atom=16.3 pbc="T T T"
Hf -4.793 -0.652 -2.645
Pd -10.250 0.645 -3.925
Pd -1.656 1.419 -1.161
Pd -2.723 0.839 -3.719
Pd -5.414 1.514 -4.365
Pd -9.183 1.225 -1.367
Pd -6.492 0.550 -0.721
Au -7.544 -0.017 -3.309
Au -4.362 2.082 -1.776

Arrangement b

9
Lattice="-0.678 -1.756 2.150 5.810 -5.662 -0.893 4.813 1.734 4.833" Properties=species:S:1:pos:R:3 comment="HfPd6Au2 (PBE-GGA, optimized geometry)" total_magnetization_mub_per_atom=0.00 volume_a3_per_atom=17.2 pbc="T T T"
Hf 5.312 -1.964 1.970
Pd 7.194 -3.456 5.143
Pd 2.752 -2.228 0.947
Pd 4.855 -3.863 0.275
Pd 6.718 -4.288 2.414
Pd 5.090 -1.820 5.815
Pd 3.228 -1.395 3.676
Au 9.330 -4.220 3.293
Au 0.615 -1.463 2.797

Stability, lowest: arrangement b

Arrangement a

7
Lattice="-3.418 3.189 1.482 -3.358 -3.574 -0.055 -1.993 -1.599 6.959" Properties=species:S:1:pos:R:3 comment="HfPd4Au2 (PBE-GGA, optimized geometry)" total_magnetization_mub_per_atom=0.00 volume_a3_per_atom=22.5 pbc="T T T"
Hf 0.000 0.000 0.000
Au -3.084 -0.499 2.074
Au -5.685 -1.485 6.312
Pd -2.510 -1.078 4.645
Pd -6.259 -0.906 3.741
Pd -1.679 -1.787 -0.027
Pd -1.709 1.595 0.741

Arrangement b

14
Lattice="6.403 -0.337 0.105 -0.930 5.557 -0.947 -2.925 -3.583 7.184" Properties=species:S:1:pos:R:3 comment="HfPd4Au2 (PBE-GGA, optimized geometry)" total_magnetization_mub_per_atom=0.00 volume_a3_per_atom=16.6 pbc="T T T"
Hf -1.539 2.738 2.610
Hf 5.166 4.917 -0.496
Pd -1.065 -0.024 3.034
Pd 0.885 1.604 1.894
Pd 2.821 0.819 3.874
Pd 3.366 -2.010 4.333
Pd 1.394 -1.191 2.342
Pd -1.287 -2.384 6.291
Pd 0.339 1.999 4.615
Pd 5.534 2.059 -0.055
Au 0.824 -0.779 5.063
Au 3.004 3.213 0.662
Au 3.489 0.435 1.121
Au -1.798 0.379 5.779

Arrangement c

14
Lattice="-8.577 1.399 -2.760 0.357 -4.296 -3.288 -1.978 1.067 6.689" Properties=species:S:1:pos:R:3 comment="HfPd4Au2 (PBE-GGA, optimized geometry)" total_magnetization_mub_per_atom=0.00 volume_a3_per_atom=17.5 pbc="T T T"
Hf 0.000 0.000 0.000
Hf -4.110 -1.449 -3.024
Pd -8.098 -0.716 2.013
Pd -7.974 -0.113 -0.633
Pd -6.220 -2.517 -1.770
Pd -8.164 1.414 3.693
Pd -2.034 -3.244 -3.052
Pd -3.977 0.688 2.411
Pd -2.223 -1.717 1.274
Pd -2.099 -1.114 -1.372
Au -8.436 -1.393 -3.160
Au -1.761 -0.437 3.801
Au -5.045 -2.020 1.043
Au -5.153 0.190 -0.402

Stability, lowest: arrangement a

Arrangement a

10
Lattice="7.057 0.000 1.991 0.000 5.651 0.000 -2.603 0.000 3.808" Properties=species:S:1:pos:R:3 comment="HfPdAu3 (PBE-GGA, optimized geometry)" total_magnetization_mub_per_atom=0.00 volume_a3_per_atom=18.1 pbc="T T T"
Hf 2.178 1.413 4.252
Hf 2.276 4.238 1.547
Pd 2.121 4.238 4.234
Pd 2.333 1.413 1.565
Au -0.017 2.825 2.769
Au 4.470 5.650 3.030
Au 4.470 2.826 3.030
Au -0.017 0.000 2.769
Au 0.035 1.413 0.026
Au 4.418 4.238 5.773

Arrangement b

10
Lattice="-4.671 -1.098 1.135 0.769 -5.218 -1.885 4.253 -1.328 5.410" Properties=species:S:1:pos:R:3 comment="HfPdAu3 (PBE-GGA, optimized geometry)" total_magnetization_mub_per_atom=0.00 volume_a3_per_atom=18.1 pbc="T T T"
Hf -0.414 -2.128 1.562
Hf 0.765 -5.515 3.098
Pd 0.408 -2.941 4.147
Pd -0.057 -4.703 0.513
Au -3.285 -1.043 1.529
Au 3.636 -6.601 3.131
Au -2.902 -3.641 0.591
Au 3.254 -4.003 4.069
Au 2.322 -1.976 2.257
Au -1.970 -5.667 2.403

Stability, lowest: arrangement b

Arrangement a

4
Lattice="-1.139 -4.513 0.345 1.339 -2.467 3.730 -3.162 -1.375 3.146" Properties=species:S:1:pos:R:3 comment="HfTiPdAu (PBE-GGA, optimized geometry)" total_magnetization_mub_per_atom=0.26 volume_a3_per_atom=18.0 pbc="T T T"
Hf -0.741 -2.089 1.805
Au 0.000 0.000 0.000
Pd -1.481 -4.178 3.610
Ti -2.222 -6.266 5.415

Arrangement b

4
Lattice="3.375 0.000 0.000 0.000 3.375 0.000 0.000 0.000 6.233" Properties=species:S:1:pos:R:3 comment="HfTiPdAu (PBE-GGA, optimized geometry)" total_magnetization_mub_per_atom=0.00 volume_a3_per_atom=17.8 pbc="T T T"
Hf 0.000 0.000 5.231
Ti 1.688 1.688 0.806
Pd 1.688 1.688 3.823
Au 0.000 0.000 2.156

Stability, lowest: arrangement a

Arrangement a

4
Lattice="3.866 0.000 0.000 1.933 3.348 0.000 1.933 1.116 7.766" Properties=species:S:1:pos:R:3 comment="PrHfAu2 (PBE-GGA, optimized geometry)" total_magnetization_mub_per_atom=0.00 volume_a3_per_atom=25.1 pbc="T T T"
Pr 3.866 2.232 3.883
Hf 0.000 0.000 0.000
Au 5.799 3.348 6.092
Au 1.933 1.116 1.674

Arrangement b

4
Lattice="-3.238 0.237 -1.254 1.018 -1.583 -2.928 -1.655 -6.643 3.016" Properties=species:S:1:pos:R:3 comment="PrHfAu2 (PBE-GGA, optimized geometry)" total_magnetization_mub_per_atom=0.00 volume_a3_per_atom=22.7 pbc="T T T"
Pr -1.937 -3.994 -0.583
Hf -1.110 -0.673 -2.091
Au -1.316 -5.284 2.399
Au -0.339 -1.359 0.617

Stability, lowest: arrangement a

Arrangement a

20
Lattice="-5.421 -1.799 -0.136 2.376 -7.093 -0.889 -0.702 1.464 8.617" Properties=species:S:1:pos:R:3 comment="HfPtAu3 (PBE-GGA, optimized geometry)" total_magnetization_mub_per_atom=0.00 volume_a3_per_atom=18.0 pbc="T T T"
Hf 1.453 -4.731 2.015
Hf -5.199 -2.698 5.578
Hf -2.258 -2.570 1.334
Hf -1.488 -4.859 6.259
Pt 0.413 -5.801 4.326
Pt -4.159 -1.627 3.267
Pt -4.328 -0.835 7.580
Pt 0.582 -6.594 0.013
Au -1.468 -0.650 3.356
Au -2.278 -6.778 4.236
Au -2.097 -7.567 -0.076
Au -1.649 0.139 7.669
Au -1.311 -5.391 1.892
Au -2.436 -2.037 5.701
Au 0.550 -1.894 1.458
Au -4.296 -5.534 6.134
Au -0.527 -3.245 3.838
Au -3.220 -4.183 3.755
Au -3.574 -3.453 8.064
Au -0.172 -3.976 -0.471

Arrangement b

5
Lattice="5.094 0.000 0.000 0.000 5.094 0.000 0.000 0.000 5.094" Properties=species:S:1:pos:R:3 comment="HfPtAu3 (PBE-GGA, optimized geometry)" total_magnetization_mub_per_atom=0.00 volume_a3_per_atom=26.4 pbc="T T T"
Hf 0.000 0.000 0.000
Au 0.000 2.547 0.000
Au 0.000 0.000 2.547
Au 2.547 0.000 0.000
Pt 2.547 2.547 2.547

Arrangement c

5
Lattice="4.979 0.000 0.000 0.000 4.979 0.000 0.000 0.000 4.979" Properties=species:S:1:pos:R:3 comment="HfPtAu3 (PBE-GGA, optimized geometry)" total_magnetization_mub_per_atom=0.00 volume_a3_per_atom=24.7 pbc="T T T"
Hf 2.489 2.489 2.489
Au 0.000 2.489 0.000
Au 0.000 0.000 2.489
Au 2.489 0.000 0.000
Pt 0.000 0.000 0.000

Stability, lowest: arrangement b